Entry 1:
Here is an optimized crystal structure of PuZnCdGa from Alexandria. Energies are from GGA-PBE.

Summary:
- D(E_F): 8.393 states/eV/f.u.
- Formation energy from the elements: -66 kJ/mol of formula units
- Magnetization: 5.5 Bohr magnetons per cell

Cell: 4.884 4.884 4.884 Å, 60.00 60.00 60.00°
Element x y z (fractional)
Pu (0.000, 0.000, 0.000)
Zn (0.250, 0.250, 0.250)
Cd (0.500, 0.500, 0.500)
Ga (0.750, 0.750, 0.750)

***

Entry 2:
Here is an optimized crystal structure of SrTeN3 from Alexandria. Energies are from GGA-PBE.

Summary:
- D(E_F): 2.410 states/eV/f.u.
- ΔE_f (raw): 55.8 kJ per mole of atoms
- Magnetization: 0.0 Bohr magnetons per cell

Cell: 4.061 4.061 4.061 Å, 90.00 90.00 90.00°
Element x y z (fractional)
Sr (0.000, 0.000, 0.000)
Te (0.500, 0.500, 0.500)
N (0.000, 0.500, 0.500)
N (0.500, 0.000, 0.500)
N (0.500, 0.500, 0.000)

***

Entry 3:
Here is an optimized crystal structure of PrTcO4 from Alexandria. Energies are from GGA-PBE.

Summary:
- D(E_F): 0.555 states/eV/f.u.
- ΔE_f (raw): -209.3 kJ per mole of atoms
- Magnetization: 8.0 Bohr magnetons per cell

Cell: 6.314 6.976 9.209 Å, 90.00 127.54 90.00°
Element x y z (fractional)
Pr (0.125, 0.098, 0.352)
Pr (0.125, 0.402, 0.852)
Pr (0.875, 0.598, 0.148)
Pr (0.875, 0.902, 0.648)
Tc (0.451, 0.618, 0.691)
Tc (0.451, 0.882, 0.191)
Tc (0.549, 0.118, 0.809)
Tc (0.549, 0.382, 0.309)
O (0.170, 0.142, 0.657)
O (0.170, 0.358, 0.157)
O (0.251, 0.019, 0.980)
O (0.251, 0.481, 0.480)
O (0.251, 0.696, 0.764)
O (0.251, 0.804, 0.264)
O (0.456, 0.611, 0.121)
O (0.456, 0.889, 0.621)
O (0.544, 0.111, 0.379)
O (0.544, 0.389, 0.879)
O (0.749, 0.196, 0.736)
O (0.749, 0.304, 0.236)
O (0.749, 0.519, 0.520)
O (0.749, 0.981, 0.020)
O (0.830, 0.642, 0.843)
O (0.830, 0.858, 0.343)

***

Entry 4:
Here is an optimized crystal structure of RbCuSeBr6 from Alexandria. Energies are from GGA-PBE.

Summary:
- ΔE_f (raw): -48.6 kJ per mole of atoms
- Magnetization: 0.1 Bohr magnetons per cell

Cell: 6.785 7.356 7.402 Å, 86.93 83.25 62.57°
Element x y z (fractional)
Rb (0.000, 0.000, 0.000)
Cu (0.407, 0.185, 0.500)
Se (0.697, 0.604, 0.501)
Br (0.046, 0.353, 0.674)
Br (0.375, 0.919, 0.332)
Br (0.446, 0.574, 0.777)
Br (0.601, 0.352, 0.327)
Br (0.703, 0.920, 0.670)
Br (0.978, 0.575, 0.224)